Th6BiC3 | GGA-PBE | optimized geometry

a b c (Å): 11.372 3.663 12.072
angles (deg): 90.00 103.42 90.00
Positions (direct):
Th (0.036, 0.250, 0.138)
Th (0.121, 0.750, 0.450)
Th (0.181, 0.250, 0.741)
Th (0.271, 0.750, 0.015)
Th (0.317, 0.250, 0.297)
Th (0.419, 0.250, 0.590)
Th (0.581, 0.750, 0.410)
Th (0.683, 0.750, 0.703)
Th (0.729, 0.250, 0.985)
Th (0.819, 0.750, 0.259)
Th (0.879, 0.250, 0.550)
Th (0.964, 0.750, 0.862)
Bi (0.460, 0.750, 0.841)
Bi (0.540, 0.250, 0.159)
C (0.036, 0.750, 0.643)
C (0.120, 0.250, 0.938)
C (0.362, 0.750, 0.441)
C (0.638, 0.250, 0.559)
C (0.880, 0.750, 0.062)
C (0.964, 0.250, 0.357)

Calculated values
Calculated formation energy: -268 meV/atom
Total DFT energy (no corrections): -7.87 eV/atom


YErAu6 | GGA-PBE | optimized geometry

a b c (Å): 9.184 4.503 8.972
angles (deg): 90.00 119.16 90.00
Positions (direct):
Y (0.000, 0.000, 0.000)
Y (0.500, 0.500, 0.000)
Er (0.000, 0.000, 0.500)
Er (0.500, 0.500, 0.500)
Au (0.002, 0.500, 0.750)
Au (0.248, 0.500, 0.622)
Au (0.250, 0.000, 0.872)
Au (0.250, 0.500, 0.128)
Au (0.252, 0.000, 0.378)
Au (0.498, 0.000, 0.250)
Au (0.502, 0.000, 0.750)
Au (0.748, 0.000, 0.622)
Au (0.750, 0.000, 0.128)
Au (0.750, 0.500, 0.872)
Au (0.752, 0.500, 0.378)
Au (0.998, 0.500, 0.250)

Calculated values
Calculated formation energy: -674 meV/atom
Total DFT energy (no corrections): -4.51 eV/atom


DyMgZn10 | GGA-PBE | optimized geometry

a b c (Å): 4.266 5.208 9.135
angles (deg): 90.00 90.00 90.00
Positions (direct):
Dy (0.000, 0.000, 0.000)
Mg (0.000, 0.500, 0.500)
Zn (0.000, 0.000, 0.343)
Zn (0.000, 0.000, 0.657)
Zn (0.000, 0.500, 0.182)
Zn (0.000, 0.500, 0.818)
Zn (0.500, 0.000, 0.500)
Zn (0.500, 0.243, 0.242)
Zn (0.500, 0.243, 0.758)
Zn (0.500, 0.500, 0.000)
Zn (0.500, 0.757, 0.242)
Zn (0.500, 0.757, 0.758)

Calculated values
Calculated formation energy: -151 meV/atom
Total DFT energy (no corrections): -1.73 eV/atom


PuTl2O3F3 | GGA-PBE | optimized geometry

a b c (Å): 6.035 6.035 3.846
angles (deg): 90.00 90.00 120.00
Positions (direct):
Pu (0.000, 0.000, 0.000)
Tl (0.333, 0.667, 0.500)
Tl (0.667, 0.333, 0.500)
O (0.000, 0.262, 0.500)
O (0.262, 0.000, 0.500)
O (0.738, 0.738, 0.500)
F (0.000, 0.613, 0.000)
F (0.387, 0.387, 0.000)
F (0.613, 0.000, 0.000)

Calculated values
Formation energy from raw total energies: -1.943 eV/atom
Total DFT energy (no corrections): -6.34 eV/atom


PmHgBr3 | GGA-PBE | optimized geometry

a b c (Å): 5.766 5.766 5.766
angles (deg): 90.00 90.00 90.00
Positions (direct):
Pm (0.000, 0.000, 0.000)
Hg (0.500, 0.500, 0.500)
Br (0.000, 0.000, 0.500)
Br (0.000, 0.500, 0.000)
Br (0.500, 0.000, 0.000)

Calculated values
Formation energy from raw total energies: -1.394 eV/atom
Total DFT energy (no corrections): -3.41 eV/atom


Pt5Pb4 | GGA-PBE | optimized geometry

a b c (Å): 7.009 7.009 7.009
angles (deg): 95.10 95.10 145.32
Positions (direct):
Pt (0.000, 0.000, 0.000)
Pt (0.339, 0.339, 0.678)
Pt (0.339, 0.661, 0.000)
Pt (0.661, 0.339, 0.000)
Pt (0.661, 0.661, 0.322)
Pb (0.000, 0.303, 0.303)
Pb (0.000, 0.697, 0.697)
Pb (0.303, 0.000, 0.303)
Pb (0.697, 0.000, 0.697)

Calculated values
Calculated formation energy: -13 meV/atom
Total DFT energy (no corrections): -5.02 eV/atom